[1]
Below is BaP3N after structural relaxation, with properties calculated at the GGA-PBE level.

Unit cell a=6.6125 b=6.6125 c=6.6125 alpha=90.00 beta=90.00 gamma=90.00
Each line ends with the local moment (μB).
Sites, in units of the cell vectors:
N (0.5000, 0.5000, 0.5000)  1.94
P (0.0000, 0.5000, 0.0000)  0.89
P (0.5000, 0.0000, 0.0000)  0.80
Ba (0.0000, 0.0000, 0.0000)  0.05
P (0.0000, 0.0000, 0.5000)  1.04

Properties
Formation energy (no corrections) in eV per atom: 2.307
Calculated density in g/cm3: 1.40
Crystal system: cubic
Energy in eV per cell: -14.945
Relative energy among the computed polymorphs in meV per atom: 1734



[2]
Below is BaPa3P4N12 after structural relaxation, with properties calculated at the GGA-PBE level.

Unit cell a=7.0187 b=7.0187 c=7.0187 alpha=102.89 beta=102.89 gamma=102.89
Sites, in units of the cell vectors:
P (0.9504, 0.0496, 0.5000)
N (0.2188, 0.3858, 0.9797)
P (0.0496, 0.5000, 0.9504)
N (0.6142, 0.7812, 0.0203)
N (0.9035, 0.5000, 0.0965)
N (0.3545, 0.6455, 0.5000)
Ba (0.0000, 0.0000, 0.0000)
P (0.5000, 0.9504, 0.0496)
N (0.3858, 0.9797, 0.2188)
N (0.5000, 0.0965, 0.9035)
Pa (0.0000, 0.5470, 0.4530)
N (0.5000, 0.3545, 0.6455)
Pa (0.4530, 0.0000, 0.5470)
N (0.6455, 0.5000, 0.3545)
N (0.9797, 0.2188, 0.3858)
P (0.5000, 0.5000, 0.5000)
Pa (0.5470, 0.4530, 0.0000)
N (0.0965, 0.9035, 0.5000)
N (0.7812, 0.0203, 0.6142)
N (0.0203, 0.6142, 0.7812)

Properties
Formation energy (no corrections) in eV per atom: -0.871
Calculated density in g/cm3: 5.92
Crystal system: trigonal
Energy in eV per cell: -169.378



[3]
Below is Ba2PaPN5 after structural relaxation, with properties calculated at the GGA-PBE level.

Unit cell a=3.5890 b=7.5787 c=12.3593 alpha=90.00 beta=90.00 gamma=103.70
Each line ends with the local moment (μB).
Sites, in units of the cell vectors:
N (0.2988, 0.5977, 0.6518)  0.08
P (0.5625, 0.1250, 0.9076)  0.00
Pa (0.1913, 0.3826, 0.0454)  0.10
N (0.6718, 0.3436, 0.9127)  0.00
N (0.0412, 0.0824, 0.9875)  0.08
N (0.7012, 0.4023, 0.1518)  0.08
Ba (0.9017, 0.8034, 0.1611)  0.01
N (0.9588, 0.9176, 0.4875)  0.08
Ba (0.1405, 0.2810, 0.3415)  0.00
Pa (0.8087, 0.6174, 0.5454)  0.10
N (0.5026, 0.0052, 0.8031)  0.02
N (0.3282, 0.6564, 0.4127)  0.00
N (0.6733, 0.3466, 0.5132)  0.15
Ba (0.8595, 0.7190, 0.8415)  0.00
P (0.4375, 0.8750, 0.4076)  0.00
N (0.3267, 0.6534, 0.0132)  0.15
N (0.4974, 0.9948, 0.3031)  0.02
Ba (0.0983, 0.1966, 0.6611)  0.01

Properties
Formation energy (no corrections) in eV per atom: -0.723
Calculated density in g/cm3: 6.17
Crystal system: orthorhombic
Energy in eV per cell: -133.774



[4]
Below is BaPa2PN5 after structural relaxation, with properties calculated at the GGA-PBE level.

Unit cell a=6.7383 b=6.7383 c=7.2671 alpha=117.62 beta=117.62 gamma=90.00
Each line ends with the local moment (μB).
Sites, in units of the cell vectors:
Pa (0.8117, 0.6883, 0.0000)  0.52
N (0.5000, 0.5000, 0.0000)  -0.04
P (0.7500, 0.2500, 0.5000)  0.00
Pa (0.6883, 0.1883, 0.0000)  0.52
N (0.0157, 0.5157, 0.2933)  -0.01
N (0.0000, 0.0000, 0.0000)  -0.04
N (0.2224, 0.9843, 0.7067)  -0.01
N (0.7224, 0.2224, 0.7067)  -0.01
N (0.9843, 0.4843, 0.7067)  -0.01
N (0.4843, 0.7224, 0.7067)  -0.01
Ba (0.7500, 0.7500, 0.5000)  0.01
N (0.5157, 0.2776, 0.2933)  -0.01
N (0.2776, 0.7776, 0.2933)  -0.01
N (0.7776, 0.0157, 0.2933)  -0.01
Pa (0.1883, 0.3117, 0.0000)  0.52
Pa (0.3117, 0.8117, 0.0000)  0.52
Ba (0.2500, 0.2500, 0.5000)  0.01
P (0.2500, 0.7500, 0.5000)  0.00

Properties
Formation energy (no corrections) in eV per atom: -1.128
Calculated density in g/cm3: 9.34
Crystal system: tetragonal
Energy in eV per cell: -156.201



[5]
Below is Ba3PaP2N6 after structural relaxation, with properties calculated at the GGA-PBE level.

Unit cell a=5.9535 b=5.9535 c=7.1913 alpha=90.00 beta=90.00 gamma=120.00
Sites, in units of the cell vectors:
Ba (0.6667, 0.3333, 0.3208)
Pa (0.0000, 0.0000, 0.5000)
N (0.3609, 0.1805, 0.6861)
Ba (0.0000, 0.0000, 0.0000)
N (0.8195, 0.6391, 0.6861)
P (0.6667, 0.3333, 0.7666)
Ba (0.3333, 0.6667, 0.6792)
N (0.1805, 0.8195, 0.3139)
N (0.6391, 0.8195, 0.3139)
N (0.8195, 0.1805, 0.6861)
P (0.3333, 0.6667, 0.2334)
N (0.1805, 0.3609, 0.3139)

Properties
Formation energy (no corrections) in eV per atom: -1.021
Calculated density in g/cm3: 5.94
Crystal system: trigonal
Energy in eV per cell: -88.291



[6]
Below is BaPa2P2N6 after structural relaxation, with properties calculated at the GGA-PBE level.

Unit cell a=6.1526 b=6.1526 c=5.8716 alpha=90.00 beta=90.00 gamma=120.00
Sites, in units of the cell vectors:
N (0.5506, 0.6111, 0.2152)
Ba (0.0000, 0.0000, 0.0000)
Pa (0.3333, 0.6667, 0.8693)
P (0.6667, 0.3333, 0.6532)
N (0.3889, 0.9395, 0.2152)
N (0.6111, 0.0605, 0.7848)
N (0.4494, 0.3889, 0.7848)
Pa (0.6667, 0.3333, 0.1307)
N (0.0605, 0.4494, 0.2152)
P (0.3333, 0.6667, 0.3468)
N (0.9395, 0.5506, 0.7848)

Properties
Formation energy (no corrections) in eV per atom: -0.904
Calculated density in g/cm3: 6.43
Crystal system: trigonal
Energy in eV per cell: -91.631



[7]
Below is Ba6P2PdN after structural relaxation, with properties calculated at the GGA-PBE level.

Unit cell a=7.5915 b=8.3416 c=11.0766 alpha=90.00 beta=90.00 gamma=90.00
Each line ends with the local moment (μB).
Sites, in units of the cell vectors:
Ba (0.2044, 0.1708, 0.4303)  0.03
Ba (0.6653, 0.2982, 0.5699)  0.04
Ba (0.7044, 0.3292, 0.9303)  0.03
N (0.0000, 0.5000, 0.0000)  0.01
Pd (0.0000, 0.5000, 0.5000)  -0.01
Ba (0.1653, 0.2018, 0.0699)  0.04
Ba (0.8347, 0.7982, 0.9301)  0.04
Ba (0.1410, 0.4450, 0.7690)  0.05
Ba (0.6410, 0.0550, 0.2690)  0.05
Ba (0.3590, 0.9450, 0.7310)  0.05
Ba (0.8590, 0.5550, 0.2310)  0.05
Ba (0.3347, 0.7018, 0.4301)  0.04
P (0.0431, 0.9058, 0.2493)  0.01
P (0.5431, 0.5942, 0.7493)  0.01
N (0.5000, 0.0000, 0.5000)  0.01
Ba (0.7956, 0.8292, 0.5697)  0.03
Pd (0.5000, 0.0000, 0.0000)  -0.01
P (0.4569, 0.4058, 0.2507)  0.01
P (0.9569, 0.0942, 0.7507)  0.01
Ba (0.2956, 0.6708, 0.0697)  0.03

Properties
Formation energy (no corrections) in eV per atom: -0.659
Calculated density in g/cm3: 4.76
Crystal system: monoclinic
Energy in eV per cell: -84.936



[8]
Below is Ba2PmP2N6 after structural relaxation, with properties calculated at the GGA-PBE level.

Unit cell a=5.9243 b=5.9243 c=7.1705 alpha=65.60 beta=65.60 gamma=60.00
Sites, in units of the cell vectors:
N (0.7258, 0.2636, 0.7470)
P (0.5830, 0.5830, 0.2509)
P (0.4170, 0.4170, 0.7491)
Pm (0.0000, 0.0000, 0.0000)
Ba (0.2102, 0.2102, 0.3694)
N (0.7364, 0.7364, 0.2530)
N (0.2636, 0.2636, 0.7470)
N (0.2742, 0.7364, 0.2530)
Ba (0.7898, 0.7898, 0.6306)
N (0.2636, 0.7258, 0.7470)
N (0.7364, 0.2742, 0.2530)

Properties
Formation energy (no corrections) in eV per atom: -0.820
Calculated density in g/cm3: 4.90
Crystal system: trigonal
Energy in eV per cell: -78.386